Entry from OQMD: a geometry-optimized SrU2F12 structure (GGA-PBE).

a b c (Å): 9.123 9.123 11.022
angles (deg): 90.00 90.00 90.00
Space group I4/mcm (No. 140)
Asymmetric unit:
Sr 0.000 0.000 0.250
U 0.150 0.350 0.000
F 0.000 0.500 0.111
F 0.056 0.213 0.130
F 0.189 0.311 0.500

M_tot (μB per atom): 0.134
Electronic total energy (eV/atom): -6.71

---

Entry from OQMD: a geometry-optimized GdBSb2O8 structure (GGA-PBE).

a b c (Å): 12.570 7.271 12.711
angles (deg): 90.00 90.00 90.00
Space group Pnma (No. 62)
Asymmetric unit:
Gd 0.046 0.250 0.236
Gd 0.249 0.750 0.481
B 0.224 0.750 0.746
B 0.243 0.250 0.738
Sb 0.000 0.000 0.000
Sb 0.000 0.000 0.500
Sb 0.009 0.750 0.252
Sb 0.250 0.250 0.482
O 0.005 0.035 0.655
O 0.037 0.549 0.149
O 0.047 0.750 0.532
O 0.050 0.250 0.034
O 0.121 0.750 0.768
O 0.148 0.250 0.794
O 0.151 0.541 0.964
O 0.154 0.035 0.493
O 0.167 0.750 0.303
O 0.202 0.250 0.332
O 0.224 0.250 0.152
O 0.243 0.750 0.134

M_tot (μB per atom): 0.000
Electronic total energy (eV/atom): -7.01

---

Entry from OQMD: a geometry-optimized UPbW structure (GGA-PBE).

a b c (Å): 6.826 6.826 6.826
angles (deg): 90.00 90.00 90.00
Space group F-43m (No. 216)
Asymmetric unit:
U 0.000 0.000 0.000
Pb 0.250 0.250 0.750
W 0.250 0.250 0.250

M_tot (μB per atom): 0.093
Electronic total energy (eV/atom): -7.72

---

Entry from OQMD: a geometry-optimized NdGdSO2 structure (GGA-PBE).

a b c (Å): 3.9032 3.9032 6.7272
angles (deg): 90.00 90.00 120.00
Space group P3m1 (No. 156)
Asymmetric unit:
Nd 0.0000 0.0000 0.0000
Gd 0.6667 0.3333 0.4391
S 0.3333 0.6667 0.7162
O 0.0000 0.0000 0.3564
O 0.6667 0.3333 0.0975

M_tot (μB per atom): 0.000
Electronic total energy (eV/atom): -7.81

---

Entry from OQMD: a geometry-optimized TePdNO structure (GGA-PBE).

a b c (Å): 5.497 7.302 5.386
angles (deg): 90.00 90.00 90.00
Space group Pca2_1 (No. 29)
Asymmetric unit:
Te 0.018 0.186 0.000
Pd 0.075 0.672 0.959
N 0.091 0.102 0.614
O 0.200 0.411 0.883

Electronic total energy (eV/atom): -5.19

---

Entry from OQMD: a geometry-optimized BaZnSO structure (GGA-PBE).

a b c (Å): 6.484 7.637 8.290
angles (deg): 90.00 90.00 90.00
Space group P2_12_12_1 (No. 19)
Asymmetric unit:
Ba 0.004 0.231 0.348
Zn 0.067 0.132 0.945
S 0.224 0.395 0.978
O 0.185 0.910 0.948

Electronic total energy (eV/atom): -4.62

---

Entry from OQMD: a geometry-optimized InAgOsSe2S structure (GGA-PBE).

a b c (Å): 3.745 16.062 9.268
angles (deg): 90.00 90.00 90.00
Space group Cmcm (No. 63)
Asymmetric unit:
In 0.000 0.160 0.250
Ag 0.000 0.205 0.750
Os 0.000 0.500 0.000
Se 0.000 0.101 0.536
S 0.000 0.458 0.750

M_tot (μB per atom): 0.001
Electronic total energy (eV/atom): -4.74

---

Entry from OQMD: a geometry-optimized TbDyH2Br4 structure (GGA-PBE).

a b c (Å): 3.8407 3.8407 14.8055
angles (deg): 90.00 90.00 120.00
Space group P-6m2 (No. 187)
Asymmetric unit:
Tb 0.0000 0.0000 0.0000
Dy 0.0000 0.0000 0.5000
H 0.3333 0.6667 0.0000
H 0.6667 0.3333 0.5000
Br 0.3333 0.6667 0.3710
Br 0.6667 0.3333 0.1296

M_tot (μB per atom): 0.000
Electronic total energy (eV/atom): -4.36

---

Entry from OQMD: a geometry-optimized KCuPtW structure (GGA-PBE).

a b c (Å): 6.507 6.507 6.507
angles (deg): 90.00 90.00 90.00
Space group F-43m (No. 216)
Asymmetric unit:
K 0.000 0.000 0.000
Cu 0.000 0.000 0.500
Pt 0.250 0.250 0.750
W 0.250 0.250 0.250

M_tot (μB per atom): 0.374
Electronic total energy (eV/atom): -4.45

---

Entry from OQMD: a geometry-optimized YCdCoAs structure (GGA-PBE).

a b c (Å): 6.706 6.706 6.706
angles (deg): 90.00 90.00 90.00
Space group F-43m (No. 216)
Asymmetric unit:
Y 0.000 0.000 0.000
Cd 0.250 0.250 0.250
Co 0.250 0.250 0.750
As 0.000 0.000 0.500

M_tot (μB per atom): 0.086
Electronic total energy (eV/atom): -4.74

---

Entry from OQMD: a geometry-optimized TaBe2NbH2 structure (GGA-PBE).

a b c (Å): 3.458 3.441 9.291
angles (deg): 90.00 90.00 90.00
Space group Amm2 (No. 38)
Asymmetric unit:
Ta 0.000 0.000 0.000
Be 0.000 0.000 0.294
Be 0.500 0.000 0.418
Nb 0.500 0.000 0.711
H 0.000 0.000 0.608
H 0.500 0.000 0.103

M_tot (μB per atom): 0.000
Electronic total energy (eV/atom): -6.34

---

Entry from OQMD: a geometry-optimized Dy4Tm2LuNi2Te2 structure (GGA-PBE).

a b c (Å): 3.822 15.498 9.530
angles (deg): 90.00 90.00 90.00
Space group Imm2 (No. 44)
Asymmetric unit:
Dy 0.000 0.145 0.000
Dy 0.000 0.184 0.649
Tm 0.000 0.366 0.853
Lu 0.000 0.500 0.271
Ni 0.000 0.262 0.342
Te 0.000 0.000 0.504
Te 0.000 0.500 0.612

M_tot (μB per atom): 0.001
Electronic total energy (eV/atom): -5.15